# Ho3Cd2Co

A geometry-optimized Ho3Cd2Co structure (PBE, Alexandria).

Lattice parameters (Å, degrees): 5.1666 7.0201 8.4884 89.98 107.86 90.00
Positions (direct):
Ho  0.5390  0.2500  0.0001
Ho  0.4610  0.7500  0.9999
Ho  0.1271  0.0000  0.2542
Ho  0.8729  0.5001  0.7458
Ho  0.1271  0.4999  0.2542
Ho  0.8729  0.0000  0.7458
Cd  0.6991  0.7502  0.3968
Cd  0.6977  0.2502  0.3968
Cd  0.3023  0.7498  0.6032
Cd  0.3009  0.2498  0.6032
Co  0.9595  0.7500  0.0001
Co  0.0405  0.2500  0.9999

Its magnetization is 0.00 μB per formula unit. Its space group is P2_1/m. The formation energy from the elements comes out at -231 meV per atom.